DFT (GGA-PBE) results for a geometry-optimized BaAl2Cd structure.

Structure (POSCAR):
```
BaAl2Cd
1.0
10.511 0.044 0.026
9.935 3.433 0.026
9.935 1.689 2.988
Al Cd Ba
2 1 1
direct
0.012 0.012 0.012
0.488 0.488 0.488
0.750 0.750 0.750
0.250 0.250 0.250
```

## Properties
Energy of formation from the pure elements in eV per atom: 0.29
Space-group type: No. 166

***

DFT (GGA-PBE) results for a geometry-optimized LiYPuZn structure.

Structure (POSCAR):
```
LiYPuZn
1.0
-1.729 -4.101 2.508
2.250 -1.475 4.343
-2.430 0.569 4.457
Li Zn Y Pu
1 1 1 1
direct
0.250 0.250 0.250
0.750 0.750 0.750
0.500 0.500 0.500
0.000 0.000 0.000
```

## Properties
Energy of formation from the pure elements in eV per atom: 0.06
Space-group type: No. 216

***

DFT (GGA-PBE) results for a geometry-optimized TaTiIO2 structure.

Structure (POSCAR):
```
TaTiIO2
1.0
3.919 0.000 0.000
0.000 3.919 0.000
0.000 0.000 5.870
O Ta Ti I
2 1 1 1
direct
0.500 0.000 0.000
0.000 0.500 0.000
0.500 0.500 0.500
0.000 0.000 0.000
0.000 0.000 0.500
```

## Properties
Distance to the lowest polymorph of the same formula in meV per atom: 504
Energy relative to the elements, uncorrected in meV per atom: -463
Space-group type: No. 123

***

DFT (GGA-PBE) results for a geometry-optimized KSrAuSe structure.

Structure (POSCAR):
```
KSrAuSe
1.0
5.458 0.000 0.000
2.729 4.726 0.000
2.729 1.575 4.456
Sr Au Se K
1 1 1 1
direct
0.000 0.000 0.000
0.750 0.750 0.750
0.250 0.250 0.250
0.500 0.500 0.500
```

## Properties
Energy relative to the elements, uncorrected in meV per atom: -1033
Space-group type: No. 216

***

no.,E (eV/atom)
1,-2.292
2,-5.931
3,-6.705
4,-3.418